! Ce5C | Alexandria via LeMat-Bulk | PBE | relaxed; values from VASP
&SYSTEM
  ibrav = 0, nat = 6, ntyp = 2
/
ATOMIC_SPECIES
Ce 140.12 Ce.upf
C 12.01 C.upf
CELL_PARAMETERS angstrom
2.122 -6.725 0.000
2.122 6.725 0.000
0.000 0.000 4.404
ATOMIC_POSITIONS angstrom
Ce 0.000 0.000 0.000
Ce 2.122 4.494 2.202
Ce 2.122 1.913 0.000
Ce 2.122 -1.913 0.000
Ce 2.122 -4.494 2.202
C 2.122 0.000 2.202
! Formation enthalpy at 0 K, eV/atom: 0.3962
! Theoretical density, g/cm3: 9.41

---

! CeC2 | Alexandria via LeMat-Bulk | PBE | relaxed; values from VASP
&SYSTEM
  ibrav = 0, nat = 3, ntyp = 2
/
ATOMIC_SPECIES
Ce 140.12 Ce.upf
C 12.01 C.upf
CELL_PARAMETERS angstrom
-1.883 1.883 3.155
1.883 -1.883 3.155
1.883 1.883 -3.155
ATOMIC_POSITIONS angstrom
Ce 0.000 0.000 0.000
C 0.000 0.000 2.498
C 0.000 0.000 3.812
! Formation enthalpy at 0 K, eV/atom: -0.1571
! Theoretical density, g/cm3: 6.09
! Energy relative to the lowest polymorph listed for this composition, meV per atom: 18

---

! CeC2 | Alexandria via LeMat-Bulk | PBE | relaxed; values from VASP
&SYSTEM
  ibrav = 0, nat = 6, ntyp = 2
/
ATOMIC_SPECIES
Ce 140.12 Ce.upf
C 12.01 C.upf
CELL_PARAMETERS angstrom
3.278 -2.117 0.000
3.278 2.117 0.000
-1.726 0.000 6.491
ATOMIC_POSITIONS angstrom
Ce 1.984 1.283 4.868
Ce 2.847 -1.283 1.623
C 1.871 0.546 0.339
C 1.008 -0.546 3.585
C 3.822 0.546 2.907
C 2.959 -0.546 6.152
! Formation enthalpy at 0 K, eV/atom: -0.1747
! Theoretical density, g/cm3: 6.05
! Energy relative to the lowest polymorph listed for this composition, meV per atom: 0

---

Question: Which value of formation enthalpy at 0 K does entry 3 give?
Answer: -0.1747 eV/atom